Entry 1:
Entry from the Alexandria database: a geometry-optimized Ac2TlZn5 structure (PBE-GGA).

```
data_Ac2TlZn5
_chemical_formula_sum 'Ac8 Tl4 Zn20'
_cell_length_a 4.707
_cell_length_b 17.334
_cell_length_c 9.381
_cell_angle_alpha 90.00
_cell_angle_beta 90.00
_cell_angle_gamma 90.00
_symmetry_space_group_name_H-M 'C m c m'
_symmetry_Int_Tables_number 63
_symmetry_space_group_name_Hall '-C 2c 2'
loop_
_atom_site_label
_atom_site_type_symbol
_atom_site_fract_x
_atom_site_fract_y
_atom_site_fract_z
_atom_site_occupancy
Ac1 Ac 0.000 0.000 0.000 1
Ac2 Ac 0.000 0.210 0.250 1
Tl1 Tl 0.000 0.441 0.750 1
Zn1 Zn 0.000 0.183 0.609 1
Zn2 Zn 0.000 0.345 0.510 1
Zn3 Zn 0.000 0.400 0.250 1
```

=====

Entry 2:
Entry from the Alexandria database: a geometry-optimized Tb2PuNpAs4 structure (PBE-GGA).

```
data_Tb2PuNpAs4
_chemical_formula_sum 'Tb2 Pu1 Np1 As4'
_cell_length_a 7.141
_cell_length_b 4.129
_cell_length_c 7.157
_cell_angle_alpha 90.00
_cell_angle_beta 109.49
_cell_angle_gamma 90.00
_symmetry_space_group_name_H-M 'P 1 2/m 1'
_symmetry_Int_Tables_number 10
loop_
_symmetry_equiv_pos_as_xyz
'x,y,z'
'-x,-y,-z'
'-x,y,-z'
'x,-y,z'
loop_
_atom_site_label
_atom_site_type_symbol
_atom_site_fract_x
_atom_site_fract_y
_atom_site_fract_z
_atom_site_occupancy
Tb1 Tb 0.000 0.000 0.000 1
Tb2 Tb 0.000 0.500 0.500 1
Pu1 Pu 0.500 0.000 0.500 1
Np1 Np 0.500 0.500 0.000 1
As1 As 0.254 0.000 0.753 1
As2 As 0.254 0.500 0.250 1
```

=====

Entry 3:
Entry from the Alexandria database: a geometry-optimized MnInGa3 structure (PBE-GGA).

```
data_MnInGa3
_chemical_formula_sum 'Mn1 In1 Ga3'
_cell_length_a 4.725
_cell_length_b 4.725
_cell_length_c 4.725
_cell_angle_alpha 90.00
_cell_angle_beta 90.00
_cell_angle_gamma 90.00
_symmetry_space_group_name_H-M 'P m -3 m'
_symmetry_Int_Tables_number 221
_symmetry_space_group_name_Hall '-P 4 2 3'
loop_
_atom_site_label
_atom_site_type_symbol
_atom_site_fract_x
_atom_site_fract_y
_atom_site_fract_z
_atom_site_occupancy
Mn1 Mn 0.000 0.000 0.000 1
In1 In 0.500 0.500 0.500 1
Ga1 Ga 0.000 0.000 0.500 1
```

Computed properties:
Relative energy among the computed polymorphs   0.00 eV per formula unit

=====

| no. | formation energy from the elements (meV per atom) | final energy (eV/atom) |
| --- | --- | --- |
| 1 | -287 | -2.407 |
| 2 | -1196 | -8.087 |
| 3 | 124 | -4.074 |